# TlRe2P (GGA-PBE, optimized geometry)
# **Calculated volume**: 15.81 Å³ per atom
# **Offset from the most stable computed form**: 648 meV per atom
# **Formation energy from the elements**: 0.9731 eV per atom
# **VASP energy**: -28.78 eV/f.u.
# **Space group**: No. 225
data_TlRe2P
_cell_length_a 4.472
_cell_length_b 4.472
_cell_length_c 4.472
_cell_angle_alpha 60.00
_cell_angle_beta 60.00
_cell_angle_gamma 60.00
_symmetry_space_group_name_H-M 'P 1'
_symmetry_Int_Tables_number 1
loop_
_symmetry_equiv_pos_as_xyz
'x,y,z'
loop_
_atom_site_label
_atom_site_fract_x
_atom_site_fract_y
_atom_site_fract_z
Tl1 0.000 0.000 0.000
Re1 0.250 0.250 0.250
Re2 0.750 0.750 0.750
P1 0.500 0.500 0.500

***

# TlRe2P (GGA-PBE, optimized geometry)
# **Calculated volume**: 16.36 Å³ per atom
# **Offset from the most stable computed form**: 164 meV per atom
# **Formation energy from the elements**: 0.4888 eV per atom
# **VASP energy**: -30.72 eV/f.u.
# **Space group**: No. 166
data_TlRe2P
_cell_length_a 8.920
_cell_length_b 8.920
_cell_length_c 8.920
_cell_angle_alpha 18.95
_cell_angle_beta 18.95
_cell_angle_gamma 18.95
_symmetry_space_group_name_H-M 'P 1'
_symmetry_Int_Tables_number 1
loop_
_symmetry_equiv_pos_as_xyz
'x,y,z'
loop_
_atom_site_label
_atom_site_fract_x
_atom_site_fract_y
_atom_site_fract_z
Tl1 0.000 0.000 0.000
Re1 0.234 0.234 0.234
Re2 0.766 0.766 0.766
P1 0.500 0.500 0.500

***

# TlRe2P (GGA-PBE, optimized geometry)
# **Calculated volume**: 15.88 Å³ per atom
# **Offset from the most stable computed form**: 666 meV per atom
# **Formation energy from the elements**: 0.9910 eV per atom
# **VASP energy**: -28.71 eV/f.u.
# **Space group**: No. 123
data_TlRe2P
_cell_length_a 4.458
_cell_length_b 4.458
_cell_length_c 3.195
_cell_angle_alpha 90.00
_cell_angle_beta 90.00
_cell_angle_gamma 90.00
_symmetry_space_group_name_H-M 'P 1'
_symmetry_Int_Tables_number 1
loop_
_symmetry_equiv_pos_as_xyz
'x,y,z'
loop_
_atom_site_label
_atom_site_fract_x
_atom_site_fract_y
_atom_site_fract_z
Tl1 0.000 0.000 0.000
Re1 0.000 0.500 0.500
Re2 0.500 0.000 0.500
P1 0.500 0.500 0.000

***

# Tl3ReP (GGA-PBE, optimized geometry)
# **Calculated volume**: 29.11 Å³ per atom
# **Offset from the most stable computed form**: 402 meV per atom
# **Formation energy from the elements**: 1.4804 eV per atom
# **VASP energy**: -17.55 eV/f.u.
# **Space group**: No. 221
data_Tl3ReP
_cell_length_a 5.260
_cell_length_b 5.260
_cell_length_c 5.260
_cell_angle_alpha 90.00
_cell_angle_beta 90.00
_cell_angle_gamma 90.00
_symmetry_space_group_name_H-M 'P 1'
_symmetry_Int_Tables_number 1
loop_
_symmetry_equiv_pos_as_xyz
'x,y,z'
loop_
_atom_site_label
_atom_site_fract_x
_atom_site_fract_y
_atom_site_fract_z
Tl1 0.000 0.000 0.500
Tl2 0.000 0.500 0.000
Tl3 0.500 0.000 0.000
Re1 0.500 0.500 0.500
P1 0.000 0.000 0.000

***

# Tl2ReP (GGA-PBE, optimized geometry)
# **Calculated volume**: 19.90 Å³ per atom
# **Offset from the most stable computed form**: 975 meV per atom
# **Formation energy from the elements**: 1.1579 eV per atom
# **VASP energy**: -17.96 eV/f.u.
# **Space group**: No. 119
data_Tl2ReP
_cell_length_a 5.247
_cell_length_b 5.247
_cell_length_c 5.247
_cell_angle_alpha 131.39
_cell_angle_beta 131.39
_cell_angle_gamma 71.19
_symmetry_space_group_name_H-M 'P 1'
_symmetry_Int_Tables_number 1
loop_
_symmetry_equiv_pos_as_xyz
'x,y,z'
loop_
_atom_site_label
_atom_site_fract_x
_atom_site_fract_y
_atom_site_fract_z
Tl1 0.000 0.000 0.000
Tl2 0.750 0.250 0.500
Re1 0.500 0.500 0.000
P1 0.250 0.750 0.500

***

# TlRe2P (GGA-PBE, optimized geometry)
# **Calculated volume**: 17.38 Å³ per atom
# **Offset from the most stable computed form**: 61 meV per atom
# **Formation energy from the elements**: 0.3860 eV per atom
# **VASP energy**: -31.13 eV/f.u.
# **Space group**: No. 44
data_TlRe2P
_cell_length_a 7.463
_cell_length_b 7.463
_cell_length_c 7.463
_cell_angle_alpha 156.88
_cell_angle_beta 154.77
_cell_angle_gamma 34.49
_symmetry_space_group_name_H-M 'P 1'
_symmetry_Int_Tables_number 1
loop_
_symmetry_equiv_pos_as_xyz
'x,y,z'
loop_
_atom_site_label
_atom_site_fract_x
_atom_site_fract_y
_atom_site_fract_z
Tl1 0.000 0.000 0.000
Re1 0.179 0.679 0.500
Re2 0.356 0.356 0.000
P1 0.741 0.241 0.500

***

# TlRe4P (GGA-PBE, optimized geometry)
# **Calculated volume**: 17.35 Å³ per atom
# **Formation energy from the elements**: 0.9680 eV per atom
# **VASP energy**: -51.76 eV/f.u.
# **Space group**: No. 216
data_TlRe4P
_cell_length_a 5.280
_cell_length_b 5.280
_cell_length_c 5.280
_cell_angle_alpha 60.00
_cell_angle_beta 60.00
_cell_angle_gamma 60.00
_symmetry_space_group_name_H-M 'P 1'
_symmetry_Int_Tables_number 1
loop_
_symmetry_equiv_pos_as_xyz
'x,y,z'
loop_
_atom_site_label
_atom_site_fract_x
_atom_site_fract_y
_atom_site_fract_z
Tl1 0.000 0.000 0.000
Re1 0.376 0.376 0.376
Re2 0.376 0.376 0.872
Re3 0.376 0.872 0.376
Re4 0.872 0.376 0.376
P1 0.750 0.750 0.750

***

# TlRe2P (GGA-PBE, optimized geometry)
# **Calculated volume**: 16.17 Å³ per atom
# **Offset from the most stable computed form**: 159 meV per atom
# **Formation energy from the elements**: 0.4843 eV per atom
# **VASP energy**: -30.74 eV/f.u.
# **Space group**: No. 123
data_TlRe2P
_cell_length_a 3.021
_cell_length_b 3.021
_cell_length_c 7.089
_cell_angle_alpha 90.00
_cell_angle_beta 90.00
_cell_angle_gamma 90.00
_symmetry_space_group_name_H-M 'P 1'
_symmetry_Int_Tables_number 1
loop_
_symmetry_equiv_pos_as_xyz
'x,y,z'
loop_
_atom_site_label
_atom_site_fract_x
_atom_site_fract_y
_atom_site_fract_z
Tl1 0.000 0.000 0.000
Re1 0.500 0.500 0.315
Re2 0.500 0.500 0.685
P1 0.000 0.000 0.500

***

# Tl2ReP (GGA-PBE, optimized geometry)
# **Calculated volume**: 22.13 Å³ per atom
# **Offset from the most stable computed form**: 0 meV per atom
# **Formation energy from the elements**: 0.1831 eV per atom
# **VASP energy**: -21.86 eV/f.u.
# **Space group**: No. 99
data_Tl2ReP
_cell_length_a 3.157
_cell_length_b 3.157
_cell_length_c 8.883
_cell_angle_alpha 90.00
_cell_angle_beta 90.00
_cell_angle_gamma 90.00
_symmetry_space_group_name_H-M 'P 1'
_symmetry_Int_Tables_number 1
loop_
_symmetry_equiv_pos_as_xyz
'x,y,z'
loop_
_atom_site_label
_atom_site_fract_x
_atom_site_fract_y
_atom_site_fract_z
Tl1 0.000 0.000 0.000
Tl2 0.500 0.500 0.361
Re1 0.500 0.500 0.733
P1 0.000 0.000 0.631

***

# Tl2ReP (GGA-PBE, optimized geometry)
# **Calculated volume**: 21.96 Å³ per atom
# **Offset from the most stable computed form**: 1057 meV per atom
# **Formation energy from the elements**: 1.2406 eV per atom
# **VASP energy**: -17.63 eV/f.u.
# **Space group**: No. 122
data_Tl2ReP
_cell_length_a 6.239
_cell_length_b 6.239
_cell_length_c 6.239
_cell_angle_alpha 102.08
_cell_angle_beta 102.08
_cell_angle_gamma 125.56
_symmetry_space_group_name_H-M 'P 1'
_symmetry_Int_Tables_number 1
loop_
_symmetry_equiv_pos_as_xyz
'x,y,z'
loop_
_atom_site_label
_atom_site_fract_x
_atom_site_fract_y
_atom_site_fract_z
Tl1 0.118 0.625 0.993
Tl2 0.375 0.368 0.493
Tl3 0.632 0.125 0.007
Tl4 0.875 0.882 0.507
Re1 0.250 0.750 0.500
Re2 0.500 0.500 0.000
P1 0.000 0.000 0.000
P2 0.750 0.250 0.500

***

# Tl2ReP (GGA-PBE, optimized geometry)
# **Calculated volume**: 19.62 Å³ per atom
# **Offset from the most stable computed form**: 941 meV per atom
# **Formation energy from the elements**: 1.1238 eV per atom
# **VASP energy**: -18.10 eV/f.u.
# **Space group**: No. 71
data_Tl2ReP
_cell_length_a 5.435
_cell_length_b 5.435
_cell_length_c 5.435
_cell_angle_alpha 142.02
_cell_angle_beta 126.25
_cell_angle_gamma 67.70
_symmetry_space_group_name_H-M 'P 1'
_symmetry_Int_Tables_number 1
loop_
_symmetry_equiv_pos_as_xyz
'x,y,z'
loop_
_atom_site_label
_atom_site_fract_x
_atom_site_fract_y
_atom_site_fract_z
Tl1 0.245 0.245 0.000
Tl2 0.755 0.755 0.000
Re1 0.500 0.000 0.500
P1 0.000 0.500 0.500

***

# TlRe2P (GGA-PBE, optimized geometry)
# **Calculated volume**: 17.21 Å³ per atom
# **Offset from the most stable computed form**: 46 meV per atom
# **Formation energy from the elements**: 0.3713 eV per atom
# **VASP energy**: -31.19 eV/f.u.
# **Space group**: No. 160
data_TlRe2P
_cell_length_a 8.957
_cell_length_b 8.957
_cell_length_c 8.957
_cell_angle_alpha 19.33
_cell_angle_beta 19.33
_cell_angle_gamma 19.33
_symmetry_space_group_name_H-M 'P 1'
_symmetry_Int_Tables_number 1
loop_
_symmetry_equiv_pos_as_xyz
'x,y,z'
loop_
_atom_site_label
_atom_site_fract_x
_atom_site_fract_y
_atom_site_fract_z
Tl1 0.000 0.000 0.000
Re1 0.506 0.506 0.506
Re2 0.760 0.760 0.760
P1 0.235 0.235 0.235